No. 1
Compound: La4ZnCo
Source: Alexandria via LeMat-Bulk
Functional: PBE
Structure: relaxed

abc: 8.7160 8.7160 6.9049
angles: 108.61 108.61 115.97
With the nearest neighbours (Å) after each atom.
Element x y z (fractional)
La (0.0524, 0.6251, 0.8385)  1 Co 2.67
La (0.1965, 0.2736, 0.7257)  2 Co 2.73-2.95
La (0.2736, 0.1965, 0.2257)  2 Co 2.73-2.95
La (0.3749, 0.9476, 0.6615)  1 Co 2.67
La (0.6251, 0.0524, 0.3385)  1 Co 2.67
La (0.7264, 0.8035, 0.7743)  2 Co 2.73-2.95
La (0.8035, 0.7264, 0.2743)  2 Co 2.73-2.95
La (0.9476, 0.3749, 0.1615)  1 Co 2.67
Zn (0.3780, 0.6220, 0.2500)  8 La 3.11-3.34
Zn (0.6220, 0.3780, 0.7500)  8 La 3.11-3.34
Co (0.0885, 0.9115, 0.7500)  6 La 2.67-2.95
Co (0.9115, 0.0885, 0.2500)  6 La 2.67-2.95

No. 2
Compound: LaZnCo2
Source: Alexandria via LeMat-Bulk
Functional: PBE
Structure: relaxed

abc: 4.2861 4.2861 3.5112
angles: 90.00 90.00 90.00
With the nearest neighbours (Å) after each atom.
Element x y z (fractional)
La (0.0000, 0.0000, 0.0000)  8 Co 2.77, 4 Zn 3.03
Zn (0.5000, 0.5000, 0.0000)  8 Co 2.77, 4 La 3.03
Co (0.0000, 0.5000, 0.5000)  4 La 2.77, 4 Zn 2.77, 4 Co 3.03
Co (0.5000, 0.0000, 0.5000)  4 La 2.77, 4 Zn 2.77, 4 Co 3.03

No. 3
Compound: LaZn7Co5
Source: Alexandria via LeMat-Bulk
Functional: PBE
Structure: relaxed

abc: 6.6372 6.6372 6.6372
angles: 136.24 98.18 97.79
With the nearest neighbours (Å) after each atom.
Element x y z (fractional)
La (0.0000, 0.0000, 0.0000)  10 Zn 2.95-3.26, 6 Co 3.15-3.20
Zn (0.2106, 0.4878, 0.7227)  4 Co 2.50-2.54, 5 Zn 2.71-2.80
Zn (0.3298, 0.9803, 0.3496)  5 Co 2.59-2.69, 4 Zn 2.62-2.74
Zn (0.3384, 0.3384, 0.0000)  6 Co 2.62-2.67, 3 Zn 2.72-2.74
Zn (0.6307, 0.9803, 0.6504)  5 Co 2.59-2.69, 4 Zn 2.62-2.74
Zn (0.6504, 0.6504, 0.0000)  5 Zn 2.64-2.80, 4 Co 2.65
Zn (0.7563, 0.2563, 0.5000)  4 Co 2.54, 6 Zn 2.64-2.80
Zn (0.7651, 0.4878, 0.2773)  4 Co 2.50-2.54, 5 Zn 2.71-2.80
Co (0.2241, 0.7241, 0.5000)  4 Co 2.47, 4 Zn 2.59-2.67
Co (0.4796, 0.4815, 0.4918)  3 Co 2.44-2.50, 7 Zn 2.50-2.69
Co (0.4796, 0.9877, 0.9981)  3 Co 2.44-2.50, 7 Zn 2.50-2.69
Co (0.9897, 0.4815, 0.0019)  3 Co 2.44-2.50, 7 Zn 2.50-2.69
Co (0.9897, 0.9877, 0.5082)  3 Co 2.44-2.50, 7 Zn 2.50-2.69

Number 1: total energy -57.2 eV/cell, formation enthalpy at 0 K -2.037 kcal/mol of atoms. Number 2: total energy -19.8 eV/cell, formation enthalpy at 0 K 3.310 kcal/mol of atoms. Number 3: total energy -51.0 eV/cell, formation enthalpy at 0 K -2.801 kcal/mol of atoms.